# 1
{"formula": "Ce2Y3ScAs6", "functional": "PBE-GGA", "state": "optimized geometry", "energy_ev_per_cell": -83.09, "space_group": "C2/m", "vol_a3_per_fu": 296.5, "rho_g_cm3": 5.83, "lattice": [[8.967, -2.063, 0.000], [8.967, 2.063, 0.000], [-1.904, 0.000, 8.014]], "species": ["Ce", "Ce", "Y", "Y", "Y", "Sc", "As", "As", "As", "As", "As", "As"], "fractional_positions": [[0.164, 0.164, 0.330], [0.836, 0.836, 0.670], [0.167, 0.167, 0.835], [0.500, 0.500, 0.500], [0.833, 0.833, 0.165], [0.500, 0.500, 0.000], [0.002, 0.002, 0.761], [0.334, 0.334, 0.415], [0.338, 0.338, 0.922], [0.662, 0.662, 0.078], [0.666, 0.666, 0.585], [0.998, 0.998, 0.239]]}

=====

# 2
{"formula": "ScGe2Rh", "functional": "PBE-GGA", "state": "optimized geometry", "energy_ev_per_cell": -99.87, "space_group": "Fm-3m", "vol_a3_per_fu": 66.0, "rho_g_cm3": 7.38, "lattice": [[6.414, 0.000, 0.000], [0.000, 6.414, 0.000], [0.000, 0.000, 6.414]], "species": ["Sc", "Sc", "Sc", "Sc", "Ge", "Ge", "Ge", "Ge", "Ge", "Ge", "Ge", "Ge", "Rh", "Rh", "Rh", "Rh"], "fractional_positions": [[0.000, 0.000, 0.000], [0.000, 0.500, 0.500], [0.500, 0.000, 0.500], [0.500, 0.500, 0.000], [0.250, 0.250, 0.250], [0.250, 0.250, 0.750], [0.250, 0.750, 0.250], [0.250, 0.750, 0.750], [0.750, 0.250, 0.250], [0.750, 0.250, 0.750], [0.750, 0.750, 0.250], [0.750, 0.750, 0.750], [0.000, 0.000, 0.500], [0.000, 0.500, 0.000], [0.500, 0.000, 0.000], [0.500, 0.500, 0.500]]}

=====

# 3
{"formula": "La16Tb6Pr7", "functional": "PBE-GGA", "state": "optimized geometry", "energy_ev_per_cell": -134.12, "space_group": "Fm-3m", "vol_a3_per_fu": 1060.9, "rho_g_cm3": 6.51, "lattice": [[0.000, 8.095, 8.095], [8.095, 0.000, 8.095], [8.095, 8.095, 0.000]], "species": ["La", "La", "La", "La", "La", "La", "La", "La", "La", "La", "La", "La", "La", "La", "La", "La", "Tb", "Tb", "Tb", "Tb", "Tb", "Tb", "Pr", "Pr", "Pr", "Pr", "Pr", "Pr", "Pr"], "fractional_positions": [[0.036, 0.655, 0.655], [0.121, 0.121, 0.121], [0.121, 0.121, 0.636], [0.121, 0.636, 0.121], [0.345, 0.345, 0.345], [0.345, 0.345, 0.964], [0.345, 0.964, 0.345], [0.364, 0.879, 0.879], [0.636, 0.121, 0.121], [0.655, 0.036, 0.655], [0.655, 0.655, 0.036], [0.655, 0.655, 0.655], [0.879, 0.364, 0.879], [0.879, 0.879, 0.364], [0.879, 0.879, 0.879], [0.964, 0.345, 0.345], [0.289, 0.289, 0.711], [0.289, 0.711, 0.289], [0.289, 0.711, 0.711], [0.711, 0.289, 0.289], [0.711, 0.289, 0.711], [0.711, 0.711, 0.289], [0.000, 0.000, 0.000], [0.000, 0.000, 0.500], [0.000, 0.500, 0.000], [0.000, 0.500, 0.500], [0.500, 0.000, 0.000], [0.500, 0.000, 0.500], [0.500, 0.500, 0.000]]}

=====

# 4
{"formula": "Dy3Tm12Sc", "functional": "PBE-GGA", "state": "optimized geometry", "energy_ev_per_cell": -73.31, "space_group": "P4/mmm", "vol_a3_per_fu": 478.3, "rho_g_cm3": 8.89, "lattice": [[4.928, 0.000, 0.000], [0.000, 4.928, 0.000], [0.000, 0.000, 19.692]], "species": ["Dy", "Dy", "Dy", "Tm", "Tm", "Tm", "Tm", "Tm", "Tm", "Tm", "Tm", "Tm", "Tm", "Tm", "Tm", "Sc"], "fractional_positions": [[0.000, 0.000, 0.000], [0.000, 0.000, 0.252], [0.000, 0.000, 0.748], [0.000, 0.500, 0.126], [0.000, 0.500, 0.379], [0.000, 0.500, 0.621], [0.000, 0.500, 0.874], [0.500, 0.000, 0.126], [0.500, 0.000, 0.379], [0.500, 0.000, 0.621], [0.500, 0.000, 0.874], [0.500, 0.500, 0.000], [0.500, 0.500, 0.252], [0.500, 0.500, 0.500], [0.500, 0.500, 0.748], [0.000, 0.000, 0.500]]}

=====

# 5
{"formula": "Rb2ZrBeAs", "functional": "PBE-GGA", "state": "optimized geometry", "energy_ev_per_cell": -14.22, "space_group": "P4/mmm", "vol_a3_per_fu": 266.5, "rho_g_cm3": 2.16, "lattice": [[7.207, 0.000, 0.000], [0.000, 7.207, 0.000], [0.000, 0.000, 5.130]], "species": ["Rb", "Rb", "Zr", "Be", "As"], "fractional_positions": [[0.000, 0.500, 0.000], [0.500, 0.000, 0.000], [0.000, 0.000, 0.000], [0.500, 0.500, 0.500], [0.000, 0.000, 0.500]]}

=====

# 6
{"formula": "In2MoAs", "functional": "PBE-GGA", "state": "optimized geometry", "energy_ev_per_cell": -38.48, "space_group": "Cmmm", "vol_a3_per_fu": 80.8, "rho_g_cm3": 8.23, "lattice": [[3.701, 0.000, 0.000], [0.000, 4.732, 0.000], [0.000, 0.000, 9.226]], "species": ["In", "In", "In", "In", "Mo", "Mo", "As", "As"], "fractional_positions": [[0.000, 0.000, 0.235], [0.000, 0.000, 0.765], [0.500, 0.500, 0.235], [0.500, 0.500, 0.765], [0.000, 0.500, 0.000], [0.500, 0.000, 0.000], [0.000, 0.500, 0.500], [0.500, 0.000, 0.500]]}

=====

# 7
{"formula": "LaTeW4", "functional": "PBE-GGA", "state": "optimized geometry", "space_group": "F-43m", "formation_energy_uncorrected_ev_per_atom": 0.619, "vol_a3_per_fu": 122.3, "rho_g_cm3": 13.60, "lattice": [[0.000, 3.940, 3.940], [3.940, 0.000, 3.940], [3.940, 3.940, 0.000]], "species": ["La", "Te", "W", "W", "W", "W"], "fractional_positions": [[0.000, 0.000, 0.000], [0.750, 0.750, 0.750], [0.374, 0.374, 0.374], [0.374, 0.374, 0.877], [0.374, 0.877, 0.374], [0.877, 0.374, 0.374]]}

=====

# 8
{"formula": "SrGePd2", "functional": "PBE-GGA", "state": "optimized geometry", "energy_ev_per_cell": -58.09, "space_group": "R-3m", "vol_a3_per_fu": 89.4, "rho_g_cm3": 6.93, "lattice": [[4.407, 0.000, 0.000], [-2.204, 3.817, 0.000], [0.000, 0.000, 15.938]], "species": ["Sr", "Sr", "Sr", "Ge", "Ge", "Ge", "Pd", "Pd", "Pd", "Pd", "Pd", "Pd"], "fractional_positions": [[0.000, 0.000, 0.000], [0.333, 0.667, 0.667], [0.667, 0.333, 0.333], [0.000, 0.000, 0.500], [0.333, 0.667, 0.167], [0.667, 0.333, 0.833], [0.000, 0.000, 0.199], [0.000, 0.000, 0.801], [0.333, 0.667, 0.468], [0.333, 0.667, 0.866], [0.667, 0.333, 0.134], [0.667, 0.333, 0.532]]}

=====

# 9
{"formula": "CeTmNi2As2", "functional": "PBE-GGA", "state": "optimized geometry", "energy_ev_per_cell": -37.45, "space_group": "P-3m1", "vol_a3_per_fu": 110.9, "rho_g_cm3": 8.63, "lattice": [[4.064, 0.000, 0.000], [-2.032, 3.520, 0.000], [0.000, 0.000, 7.751]], "species": ["Ce", "Tm", "Ni", "Ni", "As", "As"], "fractional_positions": [[0.000, 0.000, 0.000], [0.000, 0.000, 0.500], [0.333, 0.667, 0.755], [0.667, 0.333, 0.245], [0.333, 0.667, 0.263], [0.667, 0.333, 0.737]]}

=====

# 10
{"formula": "Pm2ScNi3", "functional": "PBE-GGA", "state": "optimized geometry", "energy_ev_per_cell": -35.08, "space_group": "P4/mmm", "vol_a3_per_fu": 114.7, "rho_g_cm3": 7.40, "lattice": [[3.358, 0.000, 0.000], [0.000, 3.358, 0.000], [0.000, 0.000, 10.174]], "species": ["Pm", "Pm", "Sc", "Ni", "Ni", "Ni"], "fractional_positions": [[0.000, 0.000, 0.175], [0.000, 0.000, 0.825], [0.000, 0.000, 0.500], [0.500, 0.500, 0.000], [0.500, 0.500, 0.361], [0.500, 0.500, 0.639]]}

=====

# 11
{"formula": "Ba2PuHg2O6", "functional": "PBE-GGA", "state": "optimized geometry", "space_group": "C2/m", "formation_energy_uncorrected_ev_per_atom": -1.954, "vol_a3_per_fu": 259.9, "rho_g_cm3": 6.49, "lattice": [[3.243, -5.867, 0.000], [3.243, 5.867, 0.000], [-1.590, 0.000, 6.828]], "species": ["Ba", "Ba", "Pu", "Hg", "Hg", "O", "O", "O", "O", "O", "O"], "fractional_positions": [[0.167, 0.833, 0.000], [0.833, 0.167, 0.000], [0.500, 0.500, 0.000], [0.284, 0.716, 0.500], [0.716, 0.284, 0.500], [0.205, 0.205, 0.854], [0.281, 0.542, 0.163], [0.458, 0.719, 0.837], [0.542, 0.281, 0.163], [0.719, 0.458, 0.837], [0.795, 0.795, 0.146]]}

=====

# 12
{"formula": "AuO", "functional": "PBE-GGA", "state": "optimized geometry", "space_group": "P2_12_12_1", "formation_energy_uncorrected_ev_per_atom": 0.230, "vol_a3_per_fu": 36.6, "rho_g_cm3": 9.66, "lattice": [[5.583, 0.000, 0.000], [0.000, 6.534, 0.000], [0.000, 0.000, 8.032]], "species": ["Au", "Au", "Au", "Au", "Au", "Au", "Au", "Au", "O", "O", "O", "O", "O", "O", "O", "O"], "fractional_positions": [[0.000, 0.127, 0.224], [0.000, 0.627, 0.276], [0.103, 0.546, 0.916], [0.397, 0.454, 0.416], [0.500, 0.373, 0.776], [0.500, 0.873, 0.724], [0.603, 0.954, 0.084], [0.897, 0.046, 0.584], [0.071, 0.895, 0.392], [0.162, 0.762, 0.752], [0.338, 0.238, 0.252], [0.429, 0.105, 0.892], [0.571, 0.605, 0.608], [0.662, 0.738, 0.248], [0.838, 0.262, 0.748], [0.929, 0.395, 0.108]]}

=====

# 13
{"formula": "BaCo3C", "functional": "PBE-GGA", "state": "optimized geometry", "energy_ev_per_cell": -29.42, "space_group": "Pm-3m", "vol_a3_per_fu": 68.0, "rho_g_cm3": 7.97, "lattice": [[4.081, 0.000, 0.000], [0.000, 4.081, 0.000], [0.000, 0.000, 4.081]], "species": ["Ba", "Co", "Co", "Co", "C"], "fractional_positions": [[0.000, 0.000, 0.000], [0.000, 0.500, 0.500], [0.500, 0.000, 0.500], [0.500, 0.500, 0.000], [0.500, 0.500, 0.500]]}

=====

# 14
{"formula": "Li2HgBiAs", "functional": "PBE-GGA", "state": "optimized geometry", "energy_ev_per_cell": -13.57, "space_group": "P4/mmm", "vol_a3_per_fu": 133.8, "rho_g_cm3": 6.19, "lattice": [[4.754, 0.000, 0.000], [0.000, 4.754, 0.000], [0.000, 0.000, 5.920]], "species": ["Li", "Li", "Hg", "Bi", "As"], "fractional_positions": [[0.000, 0.500, 0.000], [0.500, 0.000, 0.000], [0.000, 0.000, 0.500], [0.500, 0.500, 0.500], [0.500, 0.500, 0.000]]}

=====

# 15
{"formula": "Ba2LiSnBi6", "functional": "PBE-GGA", "state": "optimized geometry", "energy_ev_per_cell": -36.44, "space_group": "P-1", "vol_a3_per_fu": 388.9, "rho_g_cm3": 7.06, "lattice": [[7.400, 0.000, 0.000], [1.378, 7.296, 0.000], [1.383, 1.163, 7.204]], "species": ["Ba", "Ba", "Li", "Sn", "Bi", "Bi", "Bi", "Bi", "Bi", "Bi"], "fractional_positions": [[0.235, 0.231, 0.226], [0.765, 0.769, 0.774], [0.000, 0.000, 0.000], [0.500, 0.500, 0.500], [0.223, 0.221, 0.723], [0.224, 0.726, 0.222], [0.271, 0.774, 0.776], [0.729, 0.226, 0.224], [0.776, 0.274, 0.778], [0.777, 0.779, 0.277]]}

=====

# 16
{"formula": "TbNd3Cd6", "functional": "PBE-GGA", "state": "optimized geometry", "energy_ev_per_cell": -54.73, "space_group": "P2_1/m", "vol_a3_per_fu": 267.3, "rho_g_cm3": 7.87, "lattice": [[9.439, 0.000, 0.000], [0.000, 5.226, 0.000], [-2.895, 0.000, 10.838]], "species": ["Tb", "Tb", "Nd", "Nd", "Nd", "Nd", "Nd", "Nd", "Cd", "Cd", "Cd", "Cd", "Cd", "Cd", "Cd", "Cd", "Cd", "Cd", "Cd", "Cd"], "fractional_positions": [[0.054, 0.250, 0.396], [0.946, 0.750, 0.604], [0.237, 0.250, 0.997], [0.348, 0.750, 0.782], [0.474, 0.250, 0.608], [0.526, 0.750, 0.392], [0.652, 0.250, 0.218], [0.763, 0.750, 0.003], [0.048, 0.750, 0.892], [0.135, 0.250, 0.693], [0.147, 0.750, 0.187], [0.231, 0.750, 0.484], [0.331, 0.250, 0.293], [0.450, 0.750, 0.089], [0.550, 0.250, 0.911], [0.669, 0.750, 0.707], [0.769, 0.250, 0.516], [0.853, 0.250, 0.813], [0.865, 0.750, 0.307], [0.952, 0.250, 0.108]]}

=====

# 17
{"formula": "Li7AcMg5", "functional": "PBE-GGA", "state": "optimized geometry", "energy_ev_per_cell": -25.68, "space_group": "Cm", "vol_a3_per_fu": 310.5, "rho_g_cm3": 2.12, "lattice": [[5.840, -5.155, 0.000], [5.840, 5.155, 0.000], [-2.971, 0.000, 5.157]], "species": ["Li", "Li", "Li", "Li", "Li", "Li", "Li", "Ac", "Mg", "Mg", "Mg", "Mg", "Mg"], "fractional_positions": [[0.000, 0.000, 0.000], [0.129, 0.572, 0.847], [0.568, 0.568, 0.064], [0.572, 0.129, 0.847], [0.709, 0.709, 0.701], [0.710, 0.996, 0.349], [0.996, 0.710, 0.349], [0.353, 0.353, 0.350], [0.141, 0.141, 0.640], [0.355, 0.847, 0.346], [0.356, 0.846, 0.848], [0.846, 0.356, 0.848], [0.847, 0.355, 0.346]]}